{
  "formula": "HfSiP2O",
  "functional": "PBE",
  "state": "optimized geometry",
  "cell": [[5.1092, 0.0000, 0.0000], [0.0000, 5.1092, 0.0000], [0.0000, 0.0000, 3.9130]],
  "species": ["Hf", "Si", "P", "P", "O"],
  "frac_coords": [[0.0000, 0.0000, 0.0000], [0.5000, 0.5000, 0.5000], [0.0000, 0.5000, 0.0000], [0.5000, 0.0000, 0.0000], [0.0000, 0.0000, 0.5000]],
  "crystal_system": "tetragonal",
  "sg": "P4/mmm",
  "dos_at_fermi_per_ev_cell": 4.46,
  "formation_energy_uncorrected_ev_per_fu": -1.25,
  "polymorph_energy_mev_per_atom": 301
}

{
  "formula": "HfSiP2O",
  "functional": "PBE",
  "state": "optimized geometry",
  "cell": [[4.7639, 0.0000, 0.0000], [0.0000, 4.7639, 0.0000], [0.0000, 0.0000, 3.3215]],
  "species": ["Hf", "Si", "P", "P", "O"],
  "frac_coords": [[0.0000, 0.0000, 0.0000], [0.5000, 0.5000, 0.5000], [0.0000, 0.5000, 0.5000], [0.5000, 0.0000, 0.5000], [0.5000, 0.5000, 0.0000]],
  "crystal_system": "tetragonal",
  "sg": "P4/mmm",
  "dos_at_fermi_per_ev_cell": 1.22,
  "formation_energy_uncorrected_ev_per_fu": -2.76,
  "polymorph_energy_mev_per_atom": 0
}

{
  "formula": "HfSnPO2",
  "functional": "PBE",
  "state": "optimized geometry",
  "cell": [[4.0275, 0.0000, 0.0000], [0.0000, 4.0275, 0.0000], [0.0000, 0.0000, 5.4550]],
  "species": ["Hf", "Sn", "P", "O", "O"],
  "frac_coords": [[0.0000, 0.0000, 0.0000], [0.5000, 0.5000, 0.5000], [0.0000, 0.0000, 0.5000], [0.0000, 0.5000, 0.0000], [0.5000, 0.0000, 0.0000]],
  "crystal_system": "tetragonal",
  "sg": "P4/mmm",
  "dos_at_fermi_per_ev_cell": 0.87,
  "formation_energy_uncorrected_ev_per_fu": -8.11,
  "polymorph_energy_mev_per_atom": 0
}

{
  "formula": "HfSnP2O8",
  "functional": "PBE",
  "state": "optimized geometry",
  "cell": [[4.2450, -2.6927, 0.0000], [4.2450, 2.6927, 0.0000], [-0.0508, 0.0000, 7.5472]],
  "species": ["Hf", "Sn", "P", "P", "O", "O", "O", "O", "O", "O", "O", "O"],
  "frac_coords": [[0.0000, 0.0000, 0.0000], [0.0000, 0.0000, 0.5000], [0.3512, 0.3512, 0.7719], [0.6488, 0.6488, 0.2281], [0.2209, 0.6935, 0.8006], [0.2271, 0.2271, 0.9206], [0.2820, 0.2820, 0.5860], [0.3065, 0.7791, 0.1994], [0.6935, 0.2209, 0.8006], [0.7180, 0.7180, 0.4140], [0.7729, 0.7729, 0.0794], [0.7791, 0.3065, 0.1994]],
  "crystal_system": "monoclinic",
  "sg": "C2/m",
  "dos_at_fermi_per_ev_cell": 0.00,
  "formation_energy_uncorrected_ev_per_fu": -29.28
}